Below is a geometry-optimized VFeNi2 structure, with properties calculated at the PBE-GGA level.

Geometry as extended XYZ:
```
4
Lattice="3.072 0.000 0.000 0.000 3.072 0.000 0.000 0.000 5.017" Properties=species:S:1:pos:R:3 pbc="T T T"
V 0.000 0.000 0.000
Fe 0.000 0.000 2.508
Ni 1.536 1.536 1.265
Ni 1.536 1.536 3.752
```

Calculated values
**N(E_F)**: 3.83 states/eV/f.u.
**Final energy**: -0.538 Ry/atom

Below is a geometry-optimized VFeNi2 structure, with properties calculated at the PBE-GGA level.

Geometry as extended XYZ:
```
4
Lattice="3.504 0.000 0.000 0.000 3.504 0.000 0.000 0.000 3.694" Properties=species:S:1:pos:R:3 pbc="T T T"
V 0.000 0.000 0.000
Fe 1.752 1.752 0.000
Ni 0.000 1.752 1.847
Ni 1.752 0.000 1.847
```

Calculated values
**N(E_F)**: 3.79 states/eV/f.u.
**Final energy**: -0.548 Ry/atom

Below is a geometry-optimized VFeNi4 structure, with properties calculated at the PBE-GGA level.

Geometry as extended XYZ:
```
12
Lattice="2.447 -6.933 0.000 2.447 6.933 0.000 -2.416 0.000 4.118" Properties=species:S:1:pos:R:3 pbc="T T T"
V 0.635 5.200 3.088
V 1.843 -5.200 1.029
Fe 1.843 1.734 1.029
Fe 0.635 -1.734 3.088
Ni -0.594 3.007 3.093
Ni -0.583 0.459 3.094
Ni 0.625 -0.459 1.035
Ni 0.614 -3.007 1.034
Ni 1.863 3.007 3.084
Ni 1.853 0.459 3.083
Ni 3.061 -0.459 1.024
Ni 3.071 -3.007 1.025
```

Calculated values
**N(E_F)**: 5.15 states/eV/f.u.
**Distance to the lowest polymorph of the same formula**: 0.079 eV/atom

Below is a geometry-optimized VFe2Ni9 structure, with properties calculated at the PBE-GGA level.

Geometry as extended XYZ:
```
12
Lattice="3.548 0.000 0.000 0.000 3.548 0.000 0.000 0.000 10.655" Properties=species:S:1:pos:R:3 pbc="T T T"
V 0.000 0.000 0.000
Fe 0.000 0.000 3.575
Fe 0.000 0.000 7.080
Ni 0.000 1.774 1.763
Ni 0.000 1.774 5.327
Ni 0.000 1.774 8.892
Ni 1.774 0.000 1.763
Ni 1.774 0.000 5.327
Ni 1.774 0.000 8.892
Ni 1.774 1.774 0.000
Ni 1.774 1.774 3.547
Ni 1.774 1.774 7.108
```

Calculated values
**N(E_F)**: 7.50 states/eV/f.u.
**Final energy**: -0.488 Ry/atom

Below is a geometry-optimized V2FeNi6 structure, with properties calculated at the PBE-GGA level.

Geometry as extended XYZ:
```
9
Lattice="6.350 -1.221 0.000 6.350 1.221 0.000 -1.659 0.000 6.869" Properties=species:S:1:pos:R:3 pbc="T T T"
V 1.995 0.000 0.517
V 9.045 0.000 6.353
Fe -0.830 0.000 3.435
Ni -0.272 0.000 1.179
Ni 0.985 0.000 5.014
Ni 3.317 0.000 4.066
Ni 7.724 0.000 2.804
Ni 10.056 0.000 1.856
Ni 11.313 0.000 5.691
```

Calculated values
**N(E_F)**: 10.66 states/eV/f.u.
**Distance to the lowest polymorph of the same formula**: 0.240 eV/atom

Below is a geometry-optimized V3FeNi7 structure, with properties calculated at the PBE-GGA level.

Geometry as extended XYZ:
```
11
Lattice="4.101 -4.310 0.000 4.101 4.310 0.000 -2.051 0.000 3.914" Properties=species:S:1:pos:R:3 pbc="T T T"
V 0.000 0.000 0.000
V 3.075 2.290 1.957
V 3.075 -2.290 1.957
Fe 4.101 0.000 0.000
Ni 0.994 2.311 3.226
Ni 0.214 0.000 2.389
Ni 5.157 2.311 0.689
Ni 3.075 0.000 1.957
Ni 0.994 -2.311 3.226
Ni 5.937 0.000 1.525
Ni 5.157 -2.311 0.689
```

Calculated values
**N(E_F)**: 10.63 states/eV/f.u.
**Final energy**: -0.495 Ry/atom